1.
A plane-wave DFT calculation with PBE was carried out for a relaxed Pm9Tm2In crystal.

Computed properties:
**ΔE_f**: -0.07 eV per atom
**Space group**: P4/mmm, No. 123
**Calculated density**: 7.52 g/cm³
**Magnetic moment**: 0.00 μB/atom

Cell and atoms, written as extended XYZ:
```
12
Lattice="5.0308 0.0000 0.0000 0.0000 5.0308 0.0000 0.0000 0.0000 15.3389" Properties=species:S:1:pos:R:3 pbc="T T T"
Pm 2.5154 2.5154 10.2632
Pm 2.5154 0.0000 7.6694
Pm 2.5154 0.0000 2.4867
Pm 0.0000 2.5154 2.4867
Pm 0.0000 2.5154 7.6694
Pm 2.5154 2.5154 5.0757
Pm 2.5154 0.0000 12.8522
Pm 0.0000 2.5154 12.8522
Pm 2.5154 2.5154 0.0000
In 0.0000 0.0000 0.0000
Tm 0.0000 0.0000 10.2468
Tm 0.0000 0.0000 5.0921
```

***

2.
A plane-wave DFT calculation with PBE was carried out for a relaxed FeTe2OsN crystal.

Computed properties:
**Raw formation energy**: 0.73 eV per atom
**Space group**: P4/mmm, No. 123
**Calculated density**: 9.99 g/cm³
**Magnetic moment**: 0.00 μB/atom

Cell and atoms, written as extended XYZ:
```
5
Lattice="5.0648 0.0000 0.0000 0.0000 5.0648 0.0000 0.0000 0.0000 3.3388" Properties=species:S:1:pos:R:3 pbc="T T T"
Fe 0.0000 0.0000 0.0000
Te 2.5324 0.0000 0.0000
Te 0.0000 2.5324 0.0000
Os 2.5324 2.5324 1.6694
N 0.0000 0.0000 1.6694
```

***

3.
A plane-wave DFT calculation with PBE was carried out for a relaxed Sm3Cd5Ir2 crystal.

Computed properties:
**ΔE_f**: -0.26 eV per atom
**Space group**: Ibam, No. 72
**Calculated density**: 9.59 g/cm³
**Magnetic moment**: 0.00 μB/atom

Cell and atoms, written as extended XYZ:
```
20
Lattice="6.1509 0.0000 0.0000 3.0755 8.7658 -1.3747 3.0755 1.0008 8.8163" Properties=species:S:1:pos:R:3 pbc="T T T"
Sm 1.5377 0.0000 0.0000
Sm 9.2264 8.3158 2.2819
Sm 6.1509 5.3597 0.0295
Sm 3.0755 1.4508 5.1597
Sm 6.1509 4.4069 7.4120
Sm 4.6132 0.0000 0.0000
Cd 4.6132 4.8833 3.7208
Cd 4.6132 2.5556 1.9472
Cd 4.6132 7.2110 5.4944
Cd 7.6886 7.2110 5.4944
Cd 6.1509 7.0489 2.8211
Cd 6.1509 2.7176 4.6205
Cd 3.0755 5.1760 1.3941
Cd 9.2264 4.5906 6.0475
Cd 7.6886 4.8833 3.7208
Cd 7.6886 2.5556 1.9472
Ir 6.1509 7.2916 7.8170
Ir 3.0755 0.2949 2.4859
Ir 9.2264 9.4717 4.9557
Ir 6.1509 2.4750 -0.3754
```

***

4.
A plane-wave DFT calculation with PBE was carried out for a relaxed Hf4RuS crystal.

Computed properties:
**Raw formation energy**: -0.44 eV per atom
**Space group**: C2/m, No. 12
**Calculated density**: 11.61 g/cm³
**Magnetic moment**: 0.00 μB/atom

Cell and atoms, written as extended XYZ:
```
12
Lattice="3.2755 0.0000 0.0000 0.0000 6.2198 -0.2070 0.0000 -0.3748 11.9055" Properties=species:S:1:pos:R:3 pbc="T T T"
Hf 3.2738 4.1261 4.0892
Hf 0.0017 1.7189 7.6094
Hf 1.6361 5.0162 1.5531
Hf 0.0000 1.9939 1.6960
Hf 1.6378 0.9286 4.1533
Hf 1.6377 4.9164 7.5452
Hf 3.2755 3.8511 10.0026
Hf 1.6395 0.8289 10.1454
Ru 0.0000 -0.1874 5.9528
Ru 1.6378 3.1099 -0.1035
S 1.6378 2.9225 5.8493
S 0.0000 0.0000 0.0000
```

***

5.
A plane-wave DFT calculation with PBE was carried out for a relaxed Sc2TlTe crystal.

Computed properties:
**Raw formation energy**: -0.60 eV per atom
**Space group**: P4mm, No. 99
**Calculated density**: 6.79 g/cm³
**Magnetic moment**: 0.00 μB/atom

Cell and atoms, written as extended XYZ:
```
4
Lattice="-1.5389 -3.1464 -2.2667 3.8370 -1.5888 -0.3996 -0.7977 -3.1691 4.9406" Properties=species:S:1:pos:R:3 pbc="T T T"
Tl 0.4503 -5.1438 2.9949
Sc -0.6970 -2.7692 4.3171
Sc 0.8488 -3.5606 0.5266
Te -0.2981 -1.1844 1.8464
```

***

6.
A plane-wave DFT calculation with PBE was carried out for a relaxed K2MnCN crystal.

Computed properties:
**Raw formation energy**: 1.60 eV per atom
**Space group**: P4/mmm, No. 123
**Calculated density**: 2.02 g/cm³
**Magnetic moment**: 0.03 μB/atom

Cell and atoms, written as extended XYZ:
```
5
Lattice="6.1334 0.0000 0.0000 0.0000 3.4801 0.0000 0.0000 0.0000 6.1334" Properties=species:S:1:pos:R:3 pbc="T T T"
K 0.0000 0.0000 3.0667
K 3.0667 0.0000 0.0000
Mn 0.0000 0.0000 0.0000
N 0.0000 1.7400 0.0000
C 3.0667 1.7400 3.0667
```

***

7.
A plane-wave DFT calculation with PBE was carried out for a relaxed SmPaCu2 crystal.

Computed properties:
**ΔE_f**: 0.23 eV per atom
**Space group**: R-3m, No. 166
**Calculated density**: 9.63 g/cm³
**Magnetic moment**: 0.00 μB/atom

Cell and atoms, written as extended XYZ:
```
4
Lattice="3.3933 0.0000 0.0000 1.6966 2.9387 0.0000 1.6966 0.9796 8.7939" Properties=species:S:1:pos:R:3 pbc="T T T"
Cu 5.0899 2.9387 6.6260
Cu 1.6966 0.9796 2.1679
Pa 0.0000 0.0000 0.0000
Sm 3.3933 1.9591 4.3970
```

***

8.
A plane-wave DFT calculation with PBE was carried out for a relaxed PrDy2Al2 crystal.

Computed properties:
**ΔE_f**: -0.15 eV per atom
**Space group**: P2_1/m, No. 11
**Calculated density**: 6.14 g/cm³
**Magnetic moment**: 0.00 μB/atom

Cell and atoms, written as extended XYZ:
```
10
Lattice="-3.1874 -2.0163 -0.1698 1.5537 -2.0329 -5.0251 5.6538 -9.5524 7.3047" Properties=species:S:1:pos:R:3 pbc="T T T"
Al 5.2042 -10.4322 5.2060
Al 4.1522 -8.3962 0.7745
Al -1.1841 -3.1694 -3.0962
Al -0.1321 -5.2054 1.3353
Dy 1.3820 -7.4479 -0.4591
Dy 2.6380 -6.1537 2.5689
Dy 5.5570 -10.7359 2.1875
Dy -1.5369 -2.8657 -0.0776
Pr 1.5816 -4.1194 -1.7571
Pr 2.4385 -9.4822 3.8670
```

***

9.
A plane-wave DFT calculation with PBE was carried out for a relaxed Ho3AlCu2 crystal.

Computed properties:
**ΔE_f**: -0.31 eV per atom
**Space group**: P4/mmm, No. 123
**Calculated density**: 8.39 g/cm³
**Magnetic moment**: 0.00 μB/atom

Cell and atoms, written as extended XYZ:
```
6
Lattice="-1.7335 2.9360 -0.5178 -1.3911 -1.3263 -2.8634 -8.2603 -3.8546 5.7982" Properties=species:S:1:pos:R:3 pbc="T T T"
Ho 0.0000 0.0000 0.0000
Ho -2.6588 -1.2407 1.8663
Ho -5.6015 -2.6139 3.9319
Cu -8.4749 -2.4208 3.1616
Cu -2.9100 0.1760 -0.7446
Al -5.6924 -1.1224 1.2085
```

***

10.
A plane-wave DFT calculation with PBE was carried out for a relaxed NaFeCo2 crystal.

Computed properties:
**ΔE_f**: 0.87 eV per atom
**Space group**: I-42d, No. 122
**Calculated density**: 5.50 g/cm³
**Magnetic moment**: 1.47 μB/atom

Cell and atoms, written as extended XYZ:
```
8
Lattice="6.7862 0.0000 0.0000 0.0000 6.7862 0.0000 3.3931 3.3931 2.5788" Properties=species:S:1:pos:R:3 pbc="T T T"
Na 3.3931 6.7862 1.2894
Na 3.3931 3.3931 0.0000
Co 8.4827 8.7633 1.9341
Co 5.3702 1.6965 0.6447
Co 5.0896 4.8091 1.9341
Co 1.4160 5.0896 0.6447
Fe 6.7862 3.3931 1.2894
Fe 0.0000 0.0000 0.0000
```

***

11.
A plane-wave DFT calculation with PBE was carried out for a relaxed ScCuH3 crystal.

Computed properties:
**Space group**: P2_1/c, No. 14
**Calculated density**: 4.25 g/cm³
**Energy**: -4.3599 eV per atom
**Magnetic moment**: 0.00 μB/atom

Cell and atoms, written as extended XYZ:
```
20
Lattice="-6.3679 -1.7524 -1.4539 5.9222 -3.9945 2.2005 -1.1973 0.6694 4.4375" Properties=species:S:1:pos:R:3 pbc="T T T"
H -1.7851 -4.5217 3.5341
H -2.0964 -0.1172 4.1976
H -4.9946 -2.3052 3.4109
H -2.8880 -1.5180 0.3527
H -0.2091 -3.4379 2.4423
H -1.4340 -1.6396 2.7418
H -4.7387 -1.2962 1.4635
H 3.0957 -3.7813 3.7206
H 3.3516 -2.7723 1.7732
H 0.4534 -4.9603 0.9864
H 1.2450 -3.5595 4.8314
H 0.1421 -0.5558 1.6499
Cu 2.1174 -2.1628 4.4825
Cu -1.0967 -3.0221 3.8673
Cu -3.7605 -2.9147 0.7016
Cu -0.5463 -2.0554 1.3168
Sc -3.3354 -1.1677 2.9191
Sc -0.1530 -0.2906 3.6519
Sc 1.6924 -3.9099 2.2650
Sc -1.4900 -4.7869 1.5322
```

***

12.
A plane-wave DFT calculation with PBE was carried out for a relaxed La2Cd16Sn crystal.

Computed properties:
**ΔE_f**: -0.18 eV per atom
**Space group**: R3m, No. 160
**Calculated density**: 8.04 g/cm³
**Magnetic moment**: 0.00 μB/atom

Cell and atoms, written as extended XYZ:
```
19
Lattice="7.6779 -0.0061 0.8589 0.7675 7.6394 0.8589 -0.0067 -0.0061 7.7258" Properties=species:S:1:pos:R:3 pbc="T T T"
Cd 0.0855 0.0773 3.7614
Cd 1.7185 4.9425 5.6966
Cd 3.3783 6.2957 3.7806
Cd 5.5497 2.3436 8.5799
Cd 6.6040 2.7269 3.7806
Cd 7.9041 2.3436 6.4760
Cd 0.4525 3.7014 0.5064
Cd 0.8282 0.7486 0.9269
Cd 8.2020 5.2854 3.8338
Cd 5.4682 4.9425 2.3459
Cd 3.1280 7.6278 6.4760
Cd 3.0170 2.7269 6.9860
Cd 2.8908 5.2854 8.5799
Cd 6.0848 7.6278 3.8338
Cd 3.7281 0.0773 0.5064
Cd 5.0905 1.2118 5.6966
La 5.6540 5.1104 6.3272
La 2.8157 2.5449 3.1509
Sn 7.5672 6.8397 8.4683
```